Compound: UPa3Te6
Source: the Alexandria database
Functional: PBE-GGA
Structure: optimized geometry

Cell: 9.715 9.715 4.257 Å, 90.00 90.00 110.33°
Atoms (fractional coordinates):
U 0.000 0.000 0.000
Pa 0.000 0.500 0.500
Pa 0.500 0.000 0.500
Pa 0.500 0.500 0.000
Te 0.155 0.845 0.500
Te 0.169 0.398 0.000
Te 0.398 0.169 0.000
Te 0.602 0.831 0.000
Te 0.831 0.602 0.000
Te 0.845 0.155 0.500

Results
**Size of the total moment**: 1.50 μB/cell
**ΔE_f (raw)**: -296 meV per atom
**Space-group type**: Cmmm
**Mass density**: 7479 kg/m³
**DFT total energy**: -6.159 eV/atom

---

Compound: UPaTe2
Source: the Alexandria database
Functional: PBE-GGA
Structure: optimized geometry

Cell: 3.741 3.741 7.525 Å, 90.00 90.00 90.00°
Atoms (fractional coordinates):
U 0.000 0.000 0.000
Pa 0.000 0.000 0.500
Te 0.500 0.500 0.252
Te 0.500 0.500 0.748

Results
**Energy above the lowest structure with this stoichiometry**: 0 meV per atom
**Size of the total moment**: 5.09 μB/cell
**ΔE_f (raw)**: -530 meV per atom
**Space-group type**: P4/mmm
**Mass density**: 11418 kg/m³
**DFT total energy**: -7.297 eV/atom